Here is a geometry-optimized VSnC2 structure from Alexandria via LeMat-Bulk. Energies are from PBE.

a b c (Å): 5.849 5.849 5.849
angles (deg): 130.63 130.63 72.40
Element x y z (fractional)
V  0.000  0.000  0.000
V  0.750  0.250  0.500
Sn  0.250  0.750  0.500
Sn  0.500  0.500  0.000
C  0.081  0.625  0.956
C  0.375  0.331  0.456
C  0.669  0.125  0.044
C  0.875  0.919  0.544

Formation enthalpy at 0 K, eV per atom: 0.655
Space group: I-42d (122)
Total moment, μB/f.u.: 0.3